Entry 1:
A relaxed structure of Li2InHg4Pb, computed with PBE.

Geometry as CIF:
```
data_Li2InHg4Pb
_chemical_formula_sum 'Li2 In1 Hg4 Pb1'
_cell_length_a 8.9009
_cell_length_b 8.9009
_cell_length_c 8.9009
_cell_angle_alpha 33.37
_cell_angle_beta 33.37
_cell_angle_gamma 33.37
_space_group_name_H-M_alt 'P 1'
_space_group_IT_number 1
_space_group_name_Hall 'P 1'
loop_
_atom_site_label
_atom_site_type_symbol
_atom_site_fract_x
_atom_site_fract_y
_atom_site_fract_z
Li1 Li 0.2489 0.2489 0.2489
Li2 Li 0.7511 0.7511 0.7511
In1 In 0.0000 0.0000 0.0000
Hg1 Hg 0.1201 0.1201 0.1201
Hg2 Hg 0.3714 0.3714 0.3714
Hg3 Hg 0.6286 0.6286 0.6286
Hg4 Hg 0.8799 0.8799 0.8799
Pb1 Pb 0.5000 0.5000 0.5000
```


Entry 2:
A relaxed structure of LiInHg2Pb, computed with PBE.

Geometry as CIF:
```
data_LiInHg2Pb
_chemical_formula_sum 'Li1 In1 Hg2 Pb1'
_cell_length_a 5.0113
_cell_length_b 5.0113
_cell_length_c 6.2654
_cell_angle_alpha 90.00
_cell_angle_beta 90.00
_cell_angle_gamma 120.00
_space_group_name_H-M_alt 'P 1'
_space_group_IT_number 1
_space_group_name_Hall 'P 1'
loop_
_atom_site_label
_atom_site_type_symbol
_atom_site_fract_x
_atom_site_fract_y
_atom_site_fract_z
Li1 Li 0.0000 0.0000 0.0000
In1 In 0.3333 0.6667 0.6439
Hg1 Hg 0.0000 0.0000 0.5378
Hg2 Hg 0.3333 0.6667 0.1074
Pb1 Pb 0.6667 0.3333 0.2803
```


Entry 3:
A relaxed structure of Li5In2Hg2Pb, computed with PBE.

Geometry as CIF:
```
data_Li5In2Hg2Pb
_chemical_formula_sum 'Li10 In4 Hg4 Pb2'
_cell_length_a 10.6463
_cell_length_b 10.6463
_cell_length_c 3.7356
_cell_angle_alpha 90.00
_cell_angle_beta 90.00
_cell_angle_gamma 90.00
_space_group_name_H-M_alt 'P 1'
_space_group_IT_number 1
_space_group_name_Hall 'P 1'
loop_
_atom_site_label
_atom_site_type_symbol
_atom_site_fract_x
_atom_site_fract_y
_atom_site_fract_z
Li1 Li 0.0000 0.5000 0.0000
Li2 Li 0.0913 0.1907 0.0000
Li3 Li 0.1907 0.9087 0.0000
Li4 Li 0.3093 0.4087 0.0000
Li5 Li 0.4087 0.6907 0.0000
Li6 Li 0.5000 0.0000 0.0000
Li7 Li 0.5913 0.3093 0.0000
Li8 Li 0.6907 0.5913 0.0000
Li9 Li 0.8093 0.0913 0.0000
Li10 Li 0.9087 0.8093 0.0000
In1 In 0.1639 0.6639 0.5000
In2 In 0.3361 0.1639 0.5000
In3 In 0.6639 0.8361 0.5000
In4 In 0.8361 0.3361 0.5000
Hg1 Hg 0.1293 0.3707 0.5000
Hg2 Hg 0.3707 0.8707 0.5000
Hg3 Hg 0.6293 0.1293 0.5000
Hg4 Hg 0.8707 0.6293 0.5000
Pb1 Pb 0.0000 0.0000 0.5000
Pb2 Pb 0.5000 0.5000 0.5000
```


Entry 4:
A relaxed structure of LiIn2Hg6Pb, computed with PBE.

Geometry as CIF:
```
data_LiIn2Hg6Pb
_chemical_formula_sum 'Li1 In2 Hg6 Pb1'
_cell_length_a 5.8633
_cell_length_b 5.8633
_cell_length_c 8.6604
_cell_angle_alpha 107.14
_cell_angle_beta 107.14
_cell_angle_gamma 78.93
_space_group_name_H-M_alt 'P 1'
_space_group_IT_number 1
_space_group_name_Hall 'P 1'
loop_
_atom_site_label
_atom_site_type_symbol
_atom_site_fract_x
_atom_site_fract_y
_atom_site_fract_z
Li1 Li 0.0000 0.0000 0.0000
In1 In 0.2588 0.2588 0.7443
In2 In 0.7412 0.7412 0.2557
Hg1 Hg 0.1284 0.1284 0.3692
Hg2 Hg 0.2078 0.6080 0.1382
Hg3 Hg 0.3920 0.7922 0.8618
Hg4 Hg 0.6080 0.2078 0.1382
Hg5 Hg 0.7922 0.3920 0.8618
Hg6 Hg 0.8716 0.8716 0.6308
Pb1 Pb 0.5000 0.5000 0.5000
```


Entry 5:
# LiInHgPb, optimized geometry, DFT PBE
# offset from the most stable computed form: 0.007 eV per atom
data_LiInHgPb
_chemical_formula_sum 'Li1 In1 Hg1 Pb1'
_cell_length_a 5.1848
_cell_length_b 5.1848
_cell_length_c 5.1848
_cell_angle_alpha 60.00
_cell_angle_beta 60.00
_cell_angle_gamma 60.00
_space_group_name_H-M_alt 'P 1'
_space_group_IT_number 1
_space_group_name_Hall 'P 1'
loop_
_atom_site_label
_atom_site_type_symbol
_atom_site_fract_x
_atom_site_fract_y
_atom_site_fract_z
Li1 Li 0.0000 0.0000 0.0000
In1 In 0.5000 0.5000 0.5000
Hg1 Hg 0.2500 0.2500 0.2500
Pb1 Pb 0.7500 0.7500 0.7500


Entry 6:
A relaxed structure of LiInHg2Pb2, computed with PBE.

Geometry as CIF:
```
data_LiInHg2Pb2
_chemical_formula_sum 'Li2 In2 Hg4 Pb4'
_cell_length_a 4.6543
_cell_length_b 9.5078
_cell_length_c 7.1417
_cell_angle_alpha 90.00
_cell_angle_beta 90.00
_cell_angle_gamma 90.00
_space_group_name_H-M_alt 'P 1'
_space_group_IT_number 1
_space_group_name_Hall 'P 1'
loop_
_atom_site_label
_atom_site_type_symbol
_atom_site_fract_x
_atom_site_fract_y
_atom_site_fract_z
Li1 Li 0.0000 0.1897 0.0000
Li2 Li 0.0000 0.8103 0.5000
In1 In 0.5000 0.0391 0.3279
In2 In 0.5000 0.9609 0.8279
Hg1 Hg 0.0000 0.1010 0.5900
Hg2 Hg 0.0000 0.8990 0.0900
Hg3 Hg 0.5000 0.3278 0.1572
Hg4 Hg 0.5000 0.6722 0.6572
Pb1 Pb 0.0000 0.4692 0.4184
Pb2 Pb 0.0000 0.5308 0.9184
Pb3 Pb 0.5000 0.3168 0.7013
Pb4 Pb 0.5000 0.6832 0.2013
```


Number 1: DFT formation energy -0.157 eV per atom, spin magnetization 0.00 μB per formula unit. Number 2: DFT formation energy -0.065 eV per atom, spin magnetization 0.00 μB per formula unit. Number 3: DFT formation energy -0.228 eV per atom, spin magnetization 0.00 μB per formula unit. Number 4: DFT formation energy -0.016 eV per atom, spin magnetization 0.00 μB per formula unit. Number 5: DFT formation energy -0.116 eV per atom, spin magnetization 0.00 μB per formula unit. Number 6: DFT formation energy -0.087 eV per atom, spin magnetization 0.00 μB per formula unit.